# 1
Zn2Ga8Sn: relaxed, PBE-GGA.

## Properties
Crystal system ... monoclinic

Geometry as extended XYZ:
```
11
Lattice="4.1846 -6.9955 0.0000 4.1846 6.9955 0.0000 -0.1760 0.0000 3.9785" Properties=species:S:1:pos:R:3 pbc="T T T"
Zn 4.1846 4.8215 0.0000
Zn 4.1846 -4.8215 0.0000
Ga 1.7462 1.8938 2.0517
Ga 1.6148 0.0000 0.0236
Ga 4.0966 3.0704 1.9893
Ga 1.7462 -1.8938 2.0517
Ga 6.4470 1.8938 1.9269
Ga 4.0966 -3.0704 1.9893
Ga 6.5785 0.0000 3.9550
Ga 6.4470 -1.8938 1.9269
Sn 4.0966 0.0000 1.9893
```



# 2
CaGaRh2: relaxed, PBE-GGA.

## Properties
Crystal system ... tetragonal

Geometry as extended XYZ:
```
8
Lattice="4.0683 0.0000 0.0000 0.0000 4.0683 0.0000 0.0000 0.0000 9.0679" Properties=species:S:1:pos:R:3 pbc="T T T"
Ca 1.0171 1.0171 2.0440
Ca 3.0512 3.0512 7.0239
Ga 1.0171 1.0171 5.9703
Ga 3.0512 3.0512 3.0976
Rh 1.0171 1.0171 8.4416
Rh 1.0171 3.0512 4.5339
Rh 3.0512 1.0171 4.5339
Rh 3.0512 3.0512 0.6263
```



# 3
MnFe: relaxed, PBE-GGA.

## Properties
Crystal system ... hexagonal

Geometry as extended XYZ:
```
4
Lattice="3.8014 0.0000 0.0000 -1.9007 3.2921 0.0000 0.0000 0.0000 4.5210" Properties=species:S:1:pos:R:3 pbc="T T T"
Mn 0.0000 2.1947 1.1302
Mn 1.9007 1.0974 3.3907
Fe 0.0000 2.1947 3.3907
Fe 1.9007 1.0974 1.1302
```



| no. | total energy (eV per formula unit) | density of states at the Fermi level (states/eV/atom) |
| --- | --- | --- |
| 1 | -29.9 | 0.3632 |
| 2 | -21.1 | 0.9786 |
| 3 | -15.4 | 1.5058 |